A plane-wave DFT calculation with PBE was carried out for an optimized crystal structure of HoZnIr. Values from VASP.

```
&SYSTEM
  ibrav = 0, nat = 3, ntyp = 3
/
ATOMIC_SPECIES
Ho 164.93 Ho.upf
Zn 65.41 Zn.upf
Ir 192.22 Ir.upf
CELL_PARAMETERS angstrom
0.0000 3.1902 3.1902
3.1902 0.0000 3.1902
3.1902 3.1902 0.0000
ATOMIC_POSITIONS angstrom
Ho 0.0000 0.0000 0.0000
Zn 3.1902 3.1902 3.1902
Ir 1.5951 1.5951 1.5951
```

Summary:
The calculation puts the formation energy from the elements at -0.490 eV per atom. As for the symmetry: F-43m, No. 216.